An optimized crystal structure of Ni2AgHg, computed with PBE.

E_form = 0.308 eV/atom
Total moment = 2.42 Bohr magnetons per cell
VASP energy = -3.3712 eV per atom
Mass density = 11.29 g cm⁻³

Structure (CIF):
```
data_Ni2AgHg
_space_group_name_H-M_alt 'R 3 m'
_space_group_IT_number 160
_space_group_name_Hall 'R 3 -2"'
_cell_length_a 2.8614
_cell_length_b 2.8614
_cell_length_c 26.4880
_cell_angle_alpha 90.00
_cell_angle_beta 90.00
_cell_angle_gamma 120.00
loop_
_atom_site_label
_atom_site_type_symbol
_atom_site_fract_x
_atom_site_fract_y
_atom_site_fract_z
Ni1 Ni 0.0000 0.0000 0.0000
Ni2 Ni 0.0000 0.0000 0.2668
Ag1 Ag 0.0000 0.0000 0.7488
Hg1 Hg 0.0000 0.0000 0.5148
```


An optimized crystal structure of LiPaHgIr, computed with PBE.

E_form = -0.207 eV/atom
Total moment = 0.01 Bohr magnetons per cell
VASP energy = -5.3497 eV per atom
Mass density = 13.70 g cm⁻³

Structure (CIF):
```
data_LiPaHgIr
_space_group_name_H-M_alt 'F -4 3 m'
_space_group_IT_number 216
_space_group_name_Hall 'F -4 2 3'
_cell_length_a 6.737
_cell_length_b 6.737
_cell_length_c 6.737
_cell_angle_alpha 90.00
_cell_angle_beta 90.00
_cell_angle_gamma 90.00
loop_
_atom_site_label
_atom_site_type_symbol
_atom_site_fract_x
_atom_site_fract_y
_atom_site_fract_z
Li1 Li 0.000 0.000 0.000
Pa1 Pa 0.250 0.250 0.750
Hg1 Hg 0.250 0.250 0.250
Ir1 Ir 0.000 0.000 0.500
```


An optimized crystal structure of La2Tb4Sm2Er, computed with PBE.

E_form = 0.005 eV/atom
Total moment = 0.00 Bohr magnetons per cell
VASP energy = -4.7034 eV per atom
Mass density = 7.64 g cm⁻³

Structure (CIF):
```
data_La2Tb4Sm2Er
_space_group_name_H-M_alt 'C 1 2/m 1'
_space_group_IT_number 12
_cell_length_a 18.898
_cell_length_b 3.646
_cell_length_c 9.676
_cell_angle_alpha 90.00
_cell_angle_beta 115.68
_cell_angle_gamma 90.00
loop_
_space_group_symop_operation_xyz
'x,y,z'
'-x,-y,-z'
'-x,y,-z'
'x,-y,z'
'x+1/2,y+1/2,z'
'-x+1/2,-y+1/2,-z'
'-x+1/2,y+1/2,-z'
'x+1/2,-y+1/2,z'
loop_
_atom_site_label
_atom_site_type_symbol
_atom_site_fract_x
_atom_site_fract_y
_atom_site_fract_z
La1 La 0.165 0.000 0.000
Tb1 Tb 0.020 0.000 0.333
Tb2 Tb 0.185 0.500 0.337
Sm1 Sm 0.147 0.500 0.663
Er1 Er 0.000 0.500 0.000
```


An optimized crystal structure of POsAuCl2, computed with PBE.

Energy relative to the elements, uncorrected = 1.54 eV per atom
Distance to the lowest polymorph of the same formula = 0.9098 eV per atom
Total moment = 3.74 Bohr magnetons per cell
VASP energy = -3.1804 eV per atom
Mass density = 6.83 g cm⁻³

Structure (CIF):
```
data_POsAuCl2
_space_group_name_H-M_alt 'P 4/m m m'
_space_group_IT_number 123
_space_group_name_Hall '-P 4 2'
_cell_length_a 4.819
_cell_length_b 4.819
_cell_length_c 5.119
_cell_angle_alpha 90.00
_cell_angle_beta 90.00
_cell_angle_gamma 90.00
loop_
_atom_site_label
_atom_site_type_symbol
_atom_site_fract_x
_atom_site_fract_y
_atom_site_fract_z
P1 P 0.000 0.000 0.000
Os1 Os 0.500 0.500 0.000
Au1 Au 0.000 0.000 0.500
Cl1 Cl 0.000 0.500 0.500
```


> VASP energy of number 1 (Ni2AgHg)?

-3.3712 eV per atom


> Among the records above, which one has the lowest total moment?

La2Tb4Sm2Er